# 1
The following is a GGA-PBE calculation of a relaxed Sr2BiRh4Pb3 crystal, from Alexandria.

Unit cell a=4.743 b=4.743 c=10.899 alpha=90.00 beta=90.00 gamma=90.00
Fractional coordinates of all 10 atoms:
Sr 0.000 0.500 0.240
Sr 0.500 0.000 0.760
Bi 0.000 0.000 0.500
Rh 0.000 0.000 0.000
Rh 0.000 0.500 0.629
Rh 0.500 0.000 0.371
Rh 0.500 0.500 0.000
Pb 0.000 0.500 0.876
Pb 0.500 0.000 0.124
Pb 0.500 0.500 0.500

Computed properties:
Its symmetry is P-4m2, No. 115. The energy relative to the elements comes out at -0.333 eV/atom.

# 2
The following is a GGA-PBE calculation of a relaxed SrBi2RhPb crystal, from Alexandria.

Unit cell a=6.094 b=6.094 c=4.996 alpha=90.00 beta=90.00 gamma=90.00
Fractional coordinates of all 5 atoms:
Sr 0.000 0.000 0.000
Bi 0.000 0.500 0.000
Bi 0.500 0.000 0.000
Rh 0.000 0.000 0.500
Pb 0.500 0.500 0.500

Computed properties:
Its symmetry is P4/mmm, No. 123. The energy relative to the elements comes out at 0.877 eV/atom.